[1]
Below is crystalline PmSm2RuN4 at its relaxed geometry, with properties calculated at the PBE level.

Cell lengths 3.4733, 11.8628, 11.9234 Å; angles 90.00, 90.00, 90.00 degrees
Closest atoms and distances in Å follow each position.
Space group Cmcm (No. 63)
One atom of each set of equivalent atoms:
Pm 0.0000 0.1227 0.2500  6 N 2.56-2.80
Sm 0.0000 0.3684 0.0428  6 N 2.39-2.63
Ru 0.0000 0.1441 0.7500  4 N 1.99-2.05
N 0.0000 0.0000 0.0000  4 Sm 2.39
N 0.0000 0.2706 0.6334  1 Ru 2.05
N 0.0000 0.4379 0.2500  2 Ru 1.99

## Properties
DOS(E_F) in states/eV/cell: 8.6


[2]
Below is crystalline Tb2PmRuN4 at its relaxed geometry, with properties calculated at the PBE level.

Cell lengths 3.4390, 11.7027, 11.6884 Å; angles 90.00, 90.00, 90.00 degrees
Closest atoms and distances in Å follow each position.
Space group Cmcm (No. 63)
One atom of each set of equivalent atoms:
Tb 0.0000 0.1312 0.0425  6 N 2.33-2.57
Pm 0.0000 0.3777 0.2500  6 N 2.57-2.72
Ru 0.0000 0.3579 0.7500  4 N 1.98-2.04
N 0.0000 0.0576 0.2500  2 Ru 1.98
N 0.0000 0.2319 0.6295  1 Ru 2.04
N 0.0000 0.5000 0.0000  4 Tb 2.36

## Properties
DOS(E_F) in states/eV/cell: 10.3


[3]
Below is crystalline TbPm2RuN4 at its relaxed geometry, with properties calculated at the PBE level.

Cell lengths 3.4447, 11.8236, 12.0061 Å; angles 90.00, 90.00, 90.00 degrees
Closest atoms and distances in Å follow each position.
Space group Cmcm (No. 63)
One atom of each set of equivalent atoms:
Tb 0.0000 0.1280 0.2500  4 N 2.49
Pm 0.0000 0.3680 0.0428  6 N 2.38-2.64
Ru 0.0000 0.1410 0.7500  4 N 1.98-2.07
N 0.0000 0.0000 0.0000  4 Pm 2.38
N 0.0000 0.2724 0.6366  1 Ru 2.07
N 0.0000 0.4416 0.2500  2 Ru 1.98

## Properties
DOS(E_F) in states/eV/cell: 6.6


[4]
Below is crystalline PmTm2RuN4 at its relaxed geometry, with properties calculated at the PBE level.

Cell lengths 3.4000, 11.5371, 11.4736 Å; angles 90.00, 90.00, 90.00 degrees
Closest atoms and distances in Å follow each position.
Space group Cmcm (No. 63)
One atom of each set of equivalent atoms:
Pm 0.0000 0.1219 0.2500  6 N 2.57-2.65
Tm 0.0000 0.3691 0.0421  5 N 2.26-2.50
Ru 0.0000 0.1408 0.7500  4 N 1.97-2.03
N 0.0000 0.0000 0.0000  4 Tm 2.33
N 0.0000 0.2658 0.6254  1 Ru 2.03, 1 Tm 2.26
N 0.0000 0.4462 0.2500  2 Ru 1.97

## Properties
DOS(E_F) in states/eV/cell: 11.6


[5]
Below is crystalline PmY2RuN4 at its relaxed geometry, with properties calculated at the PBE level.

Cell lengths 3.4297, 11.6681, 11.6714 Å; angles 90.00, 90.00, 90.00 degrees
Closest atoms and distances in Å follow each position.
Space group Cmcm (No. 63)
One atom of each set of equivalent atoms:
Pm 0.0000 0.1230 0.2500  6 N 2.56-2.71
Y 0.0000 0.3689 0.0424  6 N 2.32-2.57
Ru 0.0000 0.1412 0.7500  4 N 1.98-2.04
N 0.0000 0.0000 0.0000  4 Y 2.35
N 0.0000 0.2674 0.6289  1 Ru 2.04
N 0.0000 0.4434 0.2500  2 Ru 1.98

## Properties
DOS(E_F) in states/eV/cell: 10.3


[6]
Below is crystalline PmZr2RuN4 at its relaxed geometry, with properties calculated at the PBE level.

Cell lengths 3.2731, 11.4005, 11.3031 Å; angles 90.00, 90.00, 90.00 degrees
Closest atoms and distances in Å follow each position.
Space group Cmcm (No. 63)
One atom of each set of equivalent atoms:
Pm 0.0000 0.1146 0.2500  6 N 2.44-2.61
Zr 0.0000 0.3692 0.0488  5 N 2.16-2.39
Ru 0.0000 0.1481 0.7500  4 N 2.02-2.08
N 0.0000 0.0000 0.0000  4 Zr 2.28
N 0.0000 0.2699 0.6135  1 Ru 2.08, 1 Zr 2.16
N 0.0000 0.4558 0.2500  2 Ru 2.02

## Properties
DOS(E_F) in states/eV/cell: 12.0


[7]
Below is crystalline Pm4SN2 at its relaxed geometry, with properties calculated at the PBE level.

Cell lengths 14.5104, 3.6737, 6.3483 Å; angles 90.00, 115.73, 90.00 degrees
Closest atoms and distances in Å follow each position.
Space group C2/m (No. 12)
One atom of each set of equivalent atoms:
Pm 0.1442 0.0000 0.3122  3 N 2.50-2.58
Pm 0.1454 0.5000 0.8095  3 N 2.47-2.56
S 0.0000 0.5000 0.0000  6 Pm 2.84-2.85
N 0.2443 0.0000 0.7472  6 Pm 2.47-2.58

## Properties
DOS(E_F) in states/eV/cell: 10.7


[8]
Below is crystalline Pm4S2N at its relaxed geometry, with properties calculated at the PBE level.

Cell lengths 3.8112, 3.8112, 39.0986 Å; angles 90.00, 90.00, 120.00 degrees
Closest atoms and distances in Å follow each position.
Space group R-3m (No. 166, hexagonal axes)
One atom of each set of equivalent atoms:
Pm 0.0000 0.0000 0.1279  3 S 2.85
Pm 0.0000 0.0000 0.2984  3 N 2.59, 3 S 2.86
S 0.0000 0.0000 0.4150  6 Pm 2.85-2.86
N 0.0000 0.0000 0.0000  6 Pm 2.59

## Properties
DOS(E_F) in states/eV/cell: 9.3


[9]
Below is crystalline Pm4S3N2 at its relaxed geometry, with properties calculated at the PBE level.

Cell lengths 13.3710, 3.9619, 10.2295 Å; angles 90.00, 128.85, 90.00 degrees
Closest atoms and distances in Å follow each position.
Space group C2/m (No. 12)
One atom of each set of equivalent atoms:
Pm 0.0634 0.0000 0.3562  1 N 2.23
Pm 0.2442 0.5000 0.8524  3 N 2.32-2.40
S 0.0000 0.5000 0.5000  6 Pm 2.89-2.98
S 0.1695 0.5000 0.2814  4 Pm 2.81-3.02
N 0.1463 0.0000 0.8603  4 Pm 2.23-2.40


[10]
Below is crystalline Pm3S2N at its relaxed geometry, with properties calculated at the PBE level.

Cell lengths 14.1580, 7.6307, 5.5690 Å; angles 90.00, 90.00, 90.00 degrees
Closest atoms and distances in Å follow each position.
Space group Cmc2_1 (No. 36)
One atom of each set of equivalent atoms:
Pm 0.0000 0.1498 0.0000  1 N 2.31
Pm 0.1355 0.3288 0.5045  1 N 2.34
S 0.1758 0.3079 0.0030  5 Pm 2.77-2.87
N 0.0000 0.1526 0.5152  3 Pm 2.31-2.34

## Properties
DOS(E_F) in states/eV/cell: 8.9
Offset from the most stable computed form in meV per atom: 0


[11]
Below is crystalline Pm6S5N at its relaxed geometry, with properties calculated at the PBE level.

Cell lengths 6.8592, 11.9167, 6.9023 Å; angles 90.00, 109.38, 90.00 degrees
Closest atoms and distances in Å follow each position.
Space group C2/m (No. 12)
One atom of each set of equivalent atoms:
Pm 0.2297 0.1535 0.2281  1 N 2.58, 4 S 2.81-2.83
Pm 0.2320 0.0000 0.7688  1 N 2.60, 4 S 2.82-2.87
S 0.0000 0.1721 0.5000  6 Pm 2.83-3.00
S 0.0000 0.3333 0.0000  6 Pm 2.81-2.82
S 0.0000 0.5000 0.5000  6 Pm 2.83-3.01
N 0.0000 0.0000 0.0000  6 Pm 2.58-2.60

## Properties
DOS(E_F) in states/eV/cell: 7.8


[12]
Below is crystalline Pm5S4N at its relaxed geometry, with properties calculated at the PBE level.

Cell lengths 3.9617, 3.9617, 28.1560 Å; angles 90.00, 90.00, 90.00 degrees
Closest atoms and distances in Å follow each position.
Space group I4/mmm (No. 139)
One atom of each set of equivalent atoms:
Pm 0.0000 0.0000 0.0000  4 N 2.80, 2 S 2.80
Pm 0.0000 0.0000 0.2022  6 S 2.81-2.89
Pm 0.0000 0.0000 0.4144  1 N 2.41
S 0.0000 0.0000 0.0995  6 Pm 2.80-2.89
S 0.0000 0.0000 0.3046  6 Pm 2.81-3.09
N 0.0000 0.0000 0.5000  2 Pm 2.41

## Properties
DOS(E_F) in states/eV/cell: 7.4


[13]
Below is crystalline Pm5S5N at its relaxed geometry, with properties calculated at the PBE level.

Cell lengths 12.5722, 5.6076, 7.8541 Å; angles 90.00, 108.61, 90.00 degrees
Closest atoms and distances in Å follow each position.
Space group C2/m (No. 12)
One atom of each set of equivalent atoms:
Pm 0.0000 0.0000 0.0000  2 N 2.80, 4 S 2.81-2.82
Pm 0.1491 0.5000 0.8405  1 N 2.57, 4 S 2.73-2.84
Pm 0.1559 0.5000 0.3160  1 N 2.63, 5 S 2.78-2.91
S 0.0000 0.5000 0.5000  4 Pm 2.73-2.78
S 0.1677 0.0000 0.8349  5 Pm 2.81-2.84
S 0.1744 0.0000 0.3309  5 Pm 2.81-2.94
N 0.0000 0.5000 0.0000  6 Pm 2.57-2.80

## Properties
DOS(E_F) in states/eV/cell: 5.9


[14]
Below is crystalline Pm2SN2 at its relaxed geometry, with properties calculated at the PBE level.

Cell lengths 13.6643, 4.0760, 6.5246 Å; angles 90.00, 102.75, 90.00 degrees
Closest atoms and distances in Å follow each position.
Space group C2/c (No. 15)
One atom of each set of equivalent atoms:
Pm 0.1426 0.2136 0.1515  2 N 2.25-2.51
S 0.0000 0.2748 0.7500  6 Pm 2.91-3.02
N 0.2162 0.3549 0.5331  1 N 1.40

## Properties
DOS(E_F) in states/eV/cell: 0.1


[15]
Below is crystalline Pm3S2N at its relaxed geometry, with properties calculated at the PBE level.

Cell lengths 3.7828, 3.7828, 20.4124 Å; angles 90.00, 90.00, 120.00 degrees
Closest atoms and distances in Å follow each position.
Space group P6_3/mmc (No. 194)
One atom of each set of equivalent atoms:
Pm 0.0000 0.0000 0.0000  6 S 2.82
Pm 0.3333 0.6667 0.1754  3 N 2.66, 3 S 2.83
S 0.3333 0.6667 0.5876  6 Pm 2.82-2.83
N 0.0000 0.0000 0.2500  6 Pm 2.66

## Properties
DOS(E_F) in states/eV/cell: 3.8
Offset from the most stable computed form in meV per atom: 3


[16]
Below is crystalline Pm4SbS2N at its relaxed geometry, with properties calculated at the PBE level.

Cell lengths 4.1023, 13.7992, 14.1509 Å; angles 90.00, 90.00, 90.00 degrees
Closest atoms and distances in Å follow each position.
Space group Cmcm (No. 63)
One atom of each set of equivalent atoms:
Pm 0.0000 0.0000 0.0000  4 S 2.86
Pm 0.0000 0.2627 0.1250  1 N 2.25
Pm 0.0000 0.4244 0.7500  2 N 2.37
Sb 0.0000 0.1055 0.7500  6 Pm 3.23-3.26
S 0.0000 0.3670 0.5551  6 Pm 2.86-2.93
N 0.0000 0.1617 0.2500  4 Pm 2.25-2.37

## Properties
DOS(E_F) in states/eV/cell: 14.3


[17]
Below is crystalline Pm3SbSN at its relaxed geometry, with properties calculated at the PBE level.

Cell lengths 8.6195, 4.1742, 9.3253 Å; angles 90.00, 101.88, 90.00 degrees
Closest atoms and distances in Å follow each position.
Space group P2_1/m (No. 11)
One atom of each set of equivalent atoms:
Pm 0.0755 0.2500 0.3463  3 S 2.78-2.88, 2 Sb 3.09
Pm 0.3348 0.2500 0.9841  3 N 2.29-2.36
Pm 0.3931 0.7500 0.6555  1 N 2.24
Sb 0.3178 0.7500 0.2833  5 Pm 3.09-3.40
S 0.1546 0.2500 0.6511  5 Pm 2.78-2.92
N 0.4048 0.7500 0.8977  4 Pm 2.24-2.36

## Properties
DOS(E_F) in states/eV/cell: 4.6


[18]
Below is crystalline Pm3SeSN at its relaxed geometry, with properties calculated at the PBE level.

Cell lengths 8.4065, 3.9829, 9.2389 Å; angles 90.00, 99.06, 90.00 degrees
Closest atoms and distances in Å follow each position.
Space group P2_1/m (No. 11)
One atom of each set of equivalent atoms:
Pm 0.0829 0.2500 0.3527  3 S 2.80-2.82, 2 Se 2.98
Pm 0.3264 0.2500 0.9913  3 N 2.30-2.32
Pm 0.3894 0.7500 0.6536  1 N 2.24
Se 0.3308 0.7500 0.2980  5 Pm 2.98-3.24
S 0.1530 0.2500 0.6609  5 Pm 2.80-2.82
N 0.4085 0.7500 0.8978  4 Pm 2.24-2.32

## Properties
DOS(E_F) in states/eV/cell: 4.6


[19]
Below is crystalline Pm4Se2SN2 at its relaxed geometry, with properties calculated at the PBE level.

Cell lengths 15.3338, 3.9946, 7.1557 Å; angles 90.00, 107.02, 90.00 degrees
Closest atoms and distances in Å follow each position.
Space group C2/m (No. 12)
One atom of each set of equivalent atoms:
Pm 0.0435 0.0000 0.2617  1 N 2.18
Pm 0.2106 0.5000 0.6679  3 N 2.35
Se 0.1278 0.5000 0.0373  5 Pm 3.07-3.39
S 0.0000 0.5000 0.5000  6 Pm 2.83-3.10
N 0.1742 0.0000 0.4887  4 Pm 2.18-2.35


[20]
Below is crystalline Pm8Se3S3N at its relaxed geometry, with properties calculated at the PBE level.

Cell lengths 8.0828, 8.0828, 20.2197 Å; angles 90.00, 90.00, 120.00 degrees
Closest atoms and distances in Å follow each position.
Space group R-3m (No. 166, hexagonal axes)
One atom of each set of equivalent atoms:
Pm 0.0000 0.0000 0.2428  3 S 2.80, 3 Se 2.97
Pm 0.0311 0.5155 0.2376  1 N 2.56, 2 S 2.84
Se 0.0000 0.5000 0.0000  6 Pm 2.95-2.97
S 0.0000 0.5000 0.5000  6 Pm 2.80-2.84
N 0.0000 0.0000 0.5000  6 Pm 2.56

## Properties
DOS(E_F) in states/eV/cell: 26.0


Number 1: formation energy (no corrections) -0.907 eV per atom, total magnetization 0.000 μB/atom. Number 2: formation energy (no corrections) -1.002 eV per atom, total magnetization 0.000 μB/atom. Number 3: formation energy (no corrections) -0.878 eV per atom, total magnetization 0.000 μB/atom. Number 4: formation energy (no corrections) -1.075 eV per atom, total magnetization 0.000 μB/atom. Number 5: formation energy (no corrections) -1.005 eV per atom, total magnetization 0.000 μB/atom. Number 6: formation energy (no corrections) -1.092 eV per atom, total magnetization 0.000 μB/atom. Number 7: formation energy (no corrections) -1.350 eV per atom, total magnetization 0.051 μB/atom. Number 8: formation energy (no corrections) -1.526 eV per atom, total magnetization 0.164 μB/atom. Number 9: formation energy (no corrections) -1.862 eV per atom, total magnetization 0.000 μB/atom. Number 10: formation energy (no corrections) -1.655 eV per atom, total magnetization 0.000 μB/atom. Number 11: formation energy (no corrections) -1.925 eV per atom, total magnetization 0.000 μB/atom. Number 12: formation energy (no corrections) -1.875 eV per atom, total magnetization 0.000 μB/atom. Number 13: formation energy (no corrections) -1.908 eV per atom, total magnetization 0.000 μB/atom. Number 14: formation energy (no corrections) -1.428 eV per atom, total magnetization 0.000 μB/atom. Number 15: formation energy (no corrections) -1.652 eV per atom, total magnetization 0.000 μB/atom. Number 16: formation energy (no corrections) -1.593 eV per atom, total magnetization 0.000 μB/atom. Number 17: formation energy (no corrections) -1.437 eV per atom, total magnetization 0.000 μB/atom. Number 18: formation energy (no corrections) -1.653 eV per atom, total magnetization 0.000 μB/atom. Number 19: formation energy (no corrections) -1.745 eV per atom, total magnetization 0.000 μB/atom. Number 20: formation energy (no corrections) -1.722 eV per atom, total magnetization 0.000 μB/atom.